[1]
Compound: La2Y3S4
Source: Alexandria
Functional: PBE
Structure: optimized geometry

abc: 3.945 6.847 9.044
angles: 74.74 77.40 73.26
Positions (direct):
S 0.198 0.892 0.712
La 0.401 0.793 0.404
Y 0.000 0.000 0.000
S 0.604 0.698 0.094
S 0.802 0.108 0.288
Y 0.793 0.605 0.809
Y 0.207 0.395 0.191
La 0.599 0.207 0.596
S 0.396 0.302 0.906

Computed properties:
- space group = C2/m
- E_form (uncorrected) (eV/f.u.) = -16.24
- M_tot (μB per cell) = 0.0

[2]
Compound: La3YS6
Source: Alexandria
Functional: PBE
Structure: optimized geometry

abc: 8.358 8.358 8.358
angles: 91.63 91.63 91.63
Positions (direct):
S 0.691 0.086 0.926
La 0.750 0.433 0.925
S 0.811 0.461 0.590
S 0.914 0.074 0.309
S 0.189 0.539 0.410
S 0.410 0.189 0.539
La 0.250 0.567 0.075
La 0.433 0.925 0.750
S 0.309 0.914 0.074
S 0.539 0.410 0.189
S 0.590 0.811 0.461
La 0.567 0.075 0.250
S 0.926 0.691 0.086
S 0.086 0.926 0.691
Y 0.000 0.000 0.000
La 0.925 0.750 0.433
S 0.461 0.590 0.811
La 0.075 0.250 0.567
S 0.074 0.309 0.914
Y 0.500 0.500 0.500

Computed properties:
- space group = R-3
- E_form (uncorrected) (eV/f.u.) = -21.62
- M_tot (μB per cell) = 0.0

[3]
Compound: LaY4S6
Source: Alexandria
Functional: PBE
Structure: optimized geometry

abc: 3.918 6.760 19.918
angles: 90.00 90.00 106.85
Positions (direct):
Y 0.593 0.186 0.874
Y 0.139 0.278 0.040
S 0.046 0.091 0.336
S 0.954 0.909 0.664
Y 0.407 0.814 0.374
S 0.500 0.000 0.000
Y 0.407 0.814 0.126
S 0.232 0.464 0.911
S 0.954 0.909 0.836
La 0.344 0.689 0.750
S 0.317 0.634 0.250
S 0.768 0.536 0.089
S 0.232 0.464 0.589
S 0.683 0.366 0.750
La 0.656 0.311 0.250
S 0.768 0.536 0.411
Y 0.861 0.722 0.960
S 0.046 0.091 0.164
Y 0.593 0.186 0.626
Y 0.861 0.722 0.540
Y 0.139 0.278 0.460
S 0.500 0.000 0.500

Computed properties:
- space group = Cmcm
- E_form (uncorrected) (eV/f.u.) = -22.98
- M_tot (μB per cell) = 0.0

[4]
Compound: LaYS2
Source: Alexandria
Functional: PBE
Structure: optimized geometry

abc: 3.955 3.955 7.345
angles: 74.38 74.38 60.00
Positions (direct):
Y 0.672 0.672 0.984
S 0.076 0.076 0.771
S 0.257 0.257 0.229
La 0.495 0.495 0.516

Computed properties:
- space group = R3m
- E_form (uncorrected) (eV/f.u.) = -8.11
- ΔE to the lowest computed polymorph (meV/atom) = 64
- M_tot (μB per cell) = 0.0

[5]
Compound: LaYS2
Source: Alexandria
Functional: PBE
Structure: optimized geometry

abc: 6.338 6.338 7.720
angles: 65.76 65.76 90.00
Positions (direct):
Y 0.500 0.500 0.000
La 0.000 0.000 0.000
S 0.604 0.125 0.250
La 0.750 0.250 0.500
S 0.146 0.625 0.250
S 0.875 0.854 0.750
Y 0.250 0.750 0.500
S 0.375 0.396 0.750

Computed properties:
- space group = I-42d
- E_form (uncorrected) (eV/f.u.) = -6.45
- ΔE to the lowest computed polymorph (meV/atom) = 478
- M_tot (μB per cell) = 0.0

[6]
Compound: LaY2S3
Source: Alexandria
Functional: PBE
Structure: optimized geometry

abc: 3.974 5.679 6.944
angles: 114.14 106.63 90.00
Positions (direct):
S 0.177 0.677 0.855
La 0.500 0.500 0.500
Y 0.837 0.837 0.174
S 0.500 0.000 0.500
S 0.823 0.323 0.145
Y 0.163 0.163 0.826

Computed properties:
- space group = Immm
- E_form (uncorrected) (eV/f.u.) = -12.24
- M_tot (μB per cell) = 0.0

[7]
Compound: La3Y4S8
Source: Alexandria
Functional: PBE
Structure: optimized geometry

abc: 8.000 8.056 8.056
angles: 90.04 119.73 119.73
Positions (direct):
Y 0.000 0.500 0.000
S 0.011 0.760 0.760
La 0.500 0.500 0.500
S 0.500 0.756 0.244
Y 0.000 0.000 0.000
S 0.989 0.240 0.240
S 0.485 0.236 0.236
S 0.500 0.244 0.756
La 0.500 0.500 0.000
S 0.000 0.244 0.756
La 0.500 0.000 0.500
Y 0.000 0.000 0.500
S 0.000 0.756 0.244
Y 0.500 0.000 0.000
S 0.515 0.764 0.764

Computed properties:
- space group = C2/m
- E_form (uncorrected) (eV/f.u.) = -31.29
- M_tot (μB per cell) = 0.0

[8]
Compound: La3YS4
Source: Alexandria
Functional: PBE
Structure: optimized geometry

abc: 4.071 7.117 7.117
angles: 109.18 90.00 90.00
Positions (direct):
Y 0.500 0.000 0.000
La 0.500 0.500 0.500
La 0.000 0.500 0.000
S 0.500 0.757 0.243
S 0.000 0.236 0.236
La 0.000 0.000 0.500
S 0.500 0.243 0.757
S 0.000 0.764 0.764

Computed properties:
- space group = Cmmm
- E_form (uncorrected) (eV/f.u.) = -16.95
- M_tot (μB per cell) = 0.0

[9]
Compound: La4Y3S8
Source: Alexandria
Functional: PBE
Structure: optimized geometry

abc: 7.890 7.890 8.762
angles: 63.24 63.24 60.00
Positions (direct):
S 0.251 0.764 0.735
La 0.650 0.650 0.051
Y 0.500 0.000 0.500
S 0.236 0.749 0.265
Y 0.000 0.500 0.500
La 0.350 0.350 0.949
La 0.500 0.500 0.500
S 0.749 0.749 0.265
S 0.251 0.251 0.735
Y 0.000 0.000 0.500
S 0.749 0.236 0.265
S 0.771 0.771 0.686
S 0.229 0.229 0.314
S 0.764 0.251 0.735
La 0.000 0.000 0.000

Computed properties:
- space group = R-3m
- E_form (uncorrected) (eV/f.u.) = -28.25
- ΔE to the lowest computed polymorph (meV/atom) = 190
- M_tot (μB per cell) = 0.0

[10]
Compound: La2Y2S3
Source: Alexandria
Functional: PBE
Structure: optimized geometry

abc: 4.033 7.036 6.910
angles: 102.49 90.01 106.68
Positions (direct):
Y 0.132 0.263 0.366
S 0.000 0.000 0.000
S 0.747 0.493 0.260
La 0.623 0.246 0.860
La 0.377 0.754 0.140
Y 0.868 0.737 0.634
S 0.253 0.507 0.740

Computed properties:
- space group = C2/m
- E_form (uncorrected) (eV/f.u.) = -12.41
- M_tot (μB per cell) = 0.0

[11]
Compound: LaYS2
Source: Alexandria
Functional: PBE
Structure: optimized geometry

abc: 4.949 4.949 4.949
angles: 60.00 60.00 60.00
Site moments in Bohr magnetons follow the coordinates.
Positions (direct):
S 0.750 0.750 0.750  -0.01
La 0.500 0.500 0.500  0.18
Y 0.000 0.000 0.000  0.24
S 0.250 0.250 0.250  -0.01

Computed properties:
- space group = Fm-3m
- E_form (uncorrected) (eV/f.u.) = -6.87
- ΔE to the lowest computed polymorph (meV/atom) = 374
- M_tot (μB per cell) = 0.7

[12]
Compound: LaYS2
Source: Alexandria
Functional: PBE
Structure: optimized geometry

abc: 4.010 4.010 7.057
angles: 73.43 73.43 60.16
Positions (direct):
S 0.744 0.744 0.769
Y 0.000 0.000 0.000
S 0.256 0.256 0.231
La 0.500 0.500 0.500

Computed properties:
- space group = C2/m
- E_form (uncorrected) (eV/f.u.) = -8.36
- ΔE to the lowest computed polymorph (meV/atom) = 0
- M_tot (μB per cell) = 0.0

[13]
Compound: La4Y3S8
Source: Alexandria
Functional: PBE
Structure: optimized geometry

abc: 8.137 8.100 8.100
angles: 89.96 120.21 120.21
Positions (direct):
Y 0.500 0.500 0.500
S 0.500 0.256 0.744
La 0.000 0.500 0.000
La 0.000 0.000 0.500
S 0.500 0.744 0.256
S 0.014 0.259 0.259
La 0.000 0.000 0.000
S 0.000 0.253 0.747
Y 0.500 0.000 0.500
S 0.986 0.741 0.741
S 0.508 0.260 0.260
Y 0.500 0.500 0.000
La 0.500 0.000 0.000
S 0.000 0.747 0.253
S 0.492 0.740 0.740

Computed properties:
- space group = C2/m
- E_form (uncorrected) (eV/f.u.) = -31.10
- ΔE to the lowest computed polymorph (meV/atom) = 0
- M_tot (μB per cell) = 0.0

[14]
Compound: La2YZnS
Source: Alexandria
Functional: PBE
Structure: optimized geometry

abc: 5.543 4.870 5.543
angles: 90.00 90.00 90.00
Positions (direct):
Y 0.500 0.500 0.500
La 0.000 0.000 0.500
La 0.500 0.000 0.000
S 0.000 0.000 0.000
Zn 0.000 0.500 0.000

Computed properties:
- space group = P4/mmm
- E_form (uncorrected) (eV/f.u.) = -2.08
- ΔE to the lowest computed polymorph (meV/atom) = 0
- M_tot (μB per cell) = 0.0

[15]
Compound: La2YZnS
Source: Alexandria
Functional: PBE
Structure: optimized geometry

abc: 5.796 4.959 5.796
angles: 90.00 90.00 90.00
Positions (direct):
S 0.500 0.500 0.500
La 0.500 0.000 0.000
Zn 0.000 0.500 0.000
Y 0.000 0.000 0.000
La 0.000 0.000 0.500

Computed properties:
- space group = P4/mmm
- E_form (uncorrected) (eV/f.u.) = 2.56
- ΔE to the lowest computed polymorph (meV/atom) = 927
- M_tot (μB per cell) = 0.0

[16]
Compound: La2YbS4
Source: Alexandria
Functional: PBE
Structure: optimized geometry

abc: 7.501 7.501 7.501
angles: 109.61 109.61 109.20
Site moments in Bohr magnetons follow the coordinates.
Positions (direct):
S 0.479 0.231 0.608  0.00
La 0.375 0.995 0.120  -0.01
La 0.745 0.625 0.620  -0.01
S 0.981 0.729 0.108  0.00
S 0.126 0.019 0.747  0.00
Yb 0.250 0.750 0.500  0.25
S 0.621 0.874 0.892  0.00
S 0.769 0.376 0.247  0.00
Yb 0.500 0.500 0.000  0.25
La 0.005 0.125 0.380  -0.01
S 0.271 0.379 0.253  0.00
La 0.875 0.255 0.880  -0.01
S 0.624 0.871 0.392  0.00
S 0.129 0.521 0.753  0.00

Computed properties:
- space group = I-42d
- E_form (uncorrected) (eV/f.u.) = -15.26
- M_tot (μB per cell) = 0.5

[17]
Compound: La3ZnS
Source: Alexandria
Functional: PBE
Structure: optimized geometry

abc: 5.484 5.484 5.484
angles: 90.00 90.00 90.00
Positions (direct):
La 0.000 0.500 0.000
La 0.500 0.000 0.000
Zn 0.500 0.500 0.500
S 0.000 0.000 0.000
La 0.000 0.000 0.500

Computed properties:
- space group = Pm-3m
- E_form (uncorrected) (eV/f.u.) = -3.50
- ΔE to the lowest computed polymorph (meV/atom) = 0
- M_tot (μB per cell) = 0.0

[18]
Compound: La2ZnS3
Source: Alexandria
Functional: PBE
Structure: optimized geometry

abc: 3.921 4.548 8.360
angles: 105.78 103.56 90.00
Positions (direct):
S 0.000 0.500 0.000
La 0.640 0.640 0.279
S 0.827 0.827 0.653
S 0.173 0.173 0.347
Zn 0.000 0.000 0.000
La 0.360 0.360 0.721

Computed properties:
- space group = Immm
- E_form (uncorrected) (eV/f.u.) = -9.80
- M_tot (μB per cell) = 0.0

[19]
Compound: La3ZnS6
Source: Alexandria
Functional: PBE
Structure: optimized geometry

abc: 6.329 9.207 9.207
angles: 102.23 90.00 90.00
Positions (direct):
S 0.193 0.673 0.646
S 0.665 0.964 0.036
S 0.188 0.425 0.900
S 0.693 0.327 0.354
S 0.693 0.646 0.673
S 0.165 0.036 0.964
La 0.905 0.618 0.382
S 0.193 0.354 0.327
S 0.688 0.900 0.425
S 0.170 0.783 0.217
Zn 0.031 0.192 0.808
Zn 0.531 0.808 0.192
La 0.475 0.290 0.070
La 0.975 0.710 0.930
La 0.975 0.070 0.290
S 0.670 0.217 0.783
La 0.405 0.382 0.618
La 0.475 0.930 0.710
S 0.188 0.100 0.575
S 0.688 0.575 0.100

Computed properties:
- space group = Cmc2_1
- E_form (uncorrected) (eV/f.u.) = -17.09
- M_tot (μB per cell) = 0.1

[20]
Compound: La2Zn2S
Source: Alexandria
Functional: PBE
Structure: optimized geometry

abc: 7.724 7.724 4.816
angles: 90.00 90.00 90.00
Positions (direct):
Zn 0.382 0.118 0.500
S 0.500 0.500 0.000
S 0.000 0.000 0.000
La 0.824 0.676 0.000
Zn 0.882 0.382 0.500
La 0.176 0.324 0.000
Zn 0.118 0.618 0.500
La 0.676 0.176 0.000
Zn 0.618 0.882 0.500
La 0.324 0.824 0.000

Computed properties:
- space group = P4/mbm
- E_form (uncorrected) (eV/f.u.) = -3.38
- M_tot (μB per cell) = 0.0

[21]
Compound: LaZr3S
Source: Alexandria
Functional: PBE
Structure: optimized geometry

abc: 5.002 5.002 5.002
angles: 90.00 90.00 90.00
Positions (direct):
Zr 0.000 0.000 0.500
Zr 0.000 0.500 0.000
S 0.000 0.000 0.000
Zr 0.500 0.000 0.000
La 0.500 0.500 0.500

Computed properties:
- space group = Pm-3m
- E_form (uncorrected) (eV/f.u.) = -2.29
- ΔE to the lowest computed polymorph (meV/atom) = 0
- M_tot (μB per cell) = 0.0